--- 1 ---
# Tb2Nd3Sm7

An optimized crystal structure of Tb2Nd3Sm7 (PBE, the Alexandria database).

Computed properties:
SG	P2/m
Fermi-level density of states	1.345	states/eV/atom

a = 3.620 Å, b = 5.936 Å, c = 19.121 Å
α = 93.08°, β = 90.00°, γ = 90.00°
Fractional positions:
Tb 0.500 0.291 0.705
Sm 0.500 0.811 0.821
Tb 0.500 0.709 0.295
Sm 0.000 0.000 0.000
Sm 0.000 0.687 0.145
Nd 0.500 0.500 0.000
Nd 0.000 0.219 0.367
Sm 0.500 0.257 0.536
Sm 0.000 0.313 0.855
Sm 0.500 0.743 0.464
Sm 0.500 0.189 0.179
Nd 0.000 0.781 0.633

=====

--- 2 ---
# Tb2Nd3Sm7

An optimized crystal structure of Tb2Nd3Sm7 (PBE, the Alexandria database).

Computed properties:
SG	R-3m
Fermi-level density of states	1.720	states/eV/atom

a = 6.614 Å, b = 6.614 Å, c = 11.973 Å
α = 73.97°, β = 73.97°, γ = 60.00°
Fractional positions:
Sm 0.586 0.586 0.748
Sm 0.414 0.414 0.252
Sm 0.500 0.500 0.500
Tb 0.334 0.334 0.998
Nd 0.847 0.847 0.459
Tb 0.666 0.666 0.002
Sm 0.586 0.081 0.748
Sm 0.081 0.586 0.748
Nd 0.153 0.153 0.541
Sm 0.414 0.919 0.252
Sm 0.919 0.414 0.252
Nd 0.000 0.000 0.000

=====

What should be chosen as the least stable of them? Choose 2.

=====

--- 1 ---
# Tb8Nd4Sm3

An optimized crystal structure of Tb8Nd4Sm3 (PBE, the Alexandria database).

Computed properties:
SG	C2/m
Fermi-level density of states	1.981	states/eV/atom

a = 6.832 Å, b = 9.349 Å, c = 9.349 Å
α = 87.15°, β = 111.48°, γ = 111.48°
Fractional positions:
Tb 0.500 0.743 0.257
Tb 0.996 0.731 0.731
Tb 0.525 0.267 0.267
Tb 0.000 0.360 0.640
Tb 0.475 0.733 0.733
Nd 0.000 0.500 0.000
Nd 0.000 0.000 0.000
Nd 0.000 0.000 0.500
Tb 0.500 0.257 0.743
Nd 0.500 0.000 0.000
Sm 0.500 0.000 0.500
Sm 0.500 0.500 0.000
Tb 0.004 0.269 0.269
Tb 0.000 0.640 0.360
Sm 0.500 0.500 0.500

=====

--- 2 ---
# Tb8Nd4Sm3

An optimized crystal structure of Tb8Nd4Sm3 (PBE, the Alexandria database).

Computed properties:
SG	R-3m
Fermi-level density of states	1.608	states/eV/atom

a = 7.017 Å, b = 7.017 Å, c = 12.607 Å
α = 73.84°, β = 73.84°, γ = 60.00°
Fractional positions:
Sm 0.500 0.000 0.500
Nd 0.664 0.664 0.009
Sm 0.000 0.500 0.500
Tb 0.754 0.754 0.737
Nd 0.500 0.500 0.500
Tb 0.752 0.250 0.748
Tb 0.248 0.750 0.252
Tb 0.750 0.750 0.252
Tb 0.250 0.752 0.748
Tb 0.250 0.250 0.748
Tb 0.750 0.248 0.252
Tb 0.246 0.246 0.263
Nd 0.000 0.000 0.000
Nd 0.336 0.336 0.991
Sm 0.000 0.000 0.500

=====

What should be chosen as the least stable of them? Choose 1.